Density functional theory data (PBE) for an optimized crystal structure of Li3TmCu3.

Calculated values
The final energy is -2.79 eV/atom. Its calculated density is 5.0 g/cm3. Its crystal system is cubic. The total magnetization comes out at 0.00 μB/f.u. For the formation energy, the calculation gives 0.4234 eV per atom.

a = 6.330 Å, b = 6.330 Å, c = 6.330 Å
α = 90.00°, β = 90.00°, γ = 90.00°
Space group Pm-3n (No. 223)
One atom of each set of equivalent atoms:
Li1 0.000 0.250 0.500 (multiplicity 6)
Tm1 0.000 0.000 0.000 (multiplicity 2)
Cu1 0.000 0.500 0.250 (multiplicity 6)

***

Density functional theory data (PBE) for an optimized crystal structure of BaCu3Ir.

Calculated values
The final energy is -4.57 eV/atom. Its calculated density is 9.2 g/cm3. Its polymorph energy (0 for the lowest one) is 0.0 meV/atom. Its crystal system is orthorhombic. The total magnetization comes out at 0.00 μB/f.u. For the formation energy, the calculation gives 0.0413 eV per atom.

a = 6.150 Å, b = 12.198 Å, c = 4.989 Å
α = 90.00°, β = 90.00°, γ = 90.00°
Space group Cmcm (No. 63)
One atom of each set of equivalent atoms:
Ba1 0.000 0.100 0.250 (multiplicity 4)
Cu1 0.000 0.304 0.750 (multiplicity 4)
Cu2 0.201 0.339 0.250 (multiplicity 8)
Ir1 0.000 0.500 0.000 (multiplicity 4)

***

Density functional theory data (PBE) for an optimized crystal structure of CsMnOs3.

Calculated values
The final energy is -6.65 eV/atom. Its calculated density is 12.6 g/cm3. Its polymorph energy (0 for the lowest one) is 0.0 meV/atom. Its crystal system is cubic. The total magnetization comes out at 0.49 μB/f.u. For the formation energy, the calculation gives 2.0950 eV per atom.

a = 4.645 Å, b = 4.645 Å, c = 4.645 Å
α = 90.00°, β = 90.00°, γ = 90.00°
Space group Pm-3m (No. 221)
One atom of each set of equivalent atoms:
Cs1 0.000 0.000 0.000 (multiplicity 1)
Mn1 0.500 0.500 0.500 (multiplicity 1)
Os1 0.000 0.500 0.500 (multiplicity 3)

***

Density functional theory data (PBE) for an optimized crystal structure of ScMnRe2.

Calculated values
The final energy is -9.92 eV/atom. Its calculated density is 12.7 g/cm3. Its polymorph energy (0 for the lowest one) is 234.5 meV/atom. Its crystal system is orthorhombic. The total magnetization comes out at 1.52 μB/f.u. For the formation energy, the calculation gives 0.1817 eV per atom.

a = 3.217 Å, b = 4.445 Å, c = 8.619 Å
α = 90.00°, β = 90.00°, γ = 90.00°
Space group Cmm2 (No. 35)
One atom of each set of equivalent atoms:
Sc1 0.000 0.000 0.000 (multiplicity 2)
Mn1 0.000 0.500 0.743 (multiplicity 2)
Re1 0.000 0.000 0.526 (multiplicity 2)
Re2 0.000 0.500 0.275 (multiplicity 2)